# 1
Crystalline LaPm3Te4 at its relaxed geometry, computed with GGA-PBE.

POSCAR file:
```
LaPm3Te4
1.0
4.4383 0.0000 0.0000
-2.2192 3.8437 0.0000
0.0000 0.0000 30.1612
La Pm Te
2 6 8
Cartesian
0.0000 2.5625 7.5403
2.2192 1.2812 22.6209
0.0000 0.0000 0.0000
0.0000 0.0000 15.0806
0.0000 2.5625 18.7709
0.0000 2.5625 26.4709
2.2192 1.2812 3.6903
2.2192 1.2812 11.3903
0.0000 0.0000 5.5407
0.0000 0.0000 9.5399
0.0000 0.0000 20.6213
0.0000 0.0000 24.6205
0.0000 2.5625 1.8465
0.0000 2.5625 13.2341
2.2192 1.2812 16.9271
2.2192 1.2812 28.3147
```

Values from the calculation:
**Space group**: P6_3/mmc, No. 194
**DOS(E_F)**: 0.76 states/eV per atom
**Total magnetic moment**: 0.00 Bohr magnetons per cell
**Energy relative to the lowest polymorph listed for this composition**: 11 meV/atom

=====

# 2
Crystalline LaPmTe3 at its relaxed geometry, computed with GGA-PBE.

POSCAR file:
```
LaPmTe3
1.0
8.3588 0.0000 0.0000
0.0000 11.9437 0.0000
0.0000 0.0000 7.4221
La Pm Te
4 4 12
Cartesian
0.0000 0.0000 0.0000
0.0000 5.9718 0.0000
4.1794 0.0000 3.7111
4.1794 5.9718 3.7111
0.9867 2.9859 3.2865
3.1927 8.9578 6.9976
5.1661 2.9859 0.4245
7.3721 8.9578 4.1356
0.4907 8.9578 1.2282
1.4744 7.0629 4.8908
1.4744 10.8526 4.8908
2.7050 1.0911 1.1798
2.7050 4.8808 1.1798
3.6887 2.9859 4.9392
4.6701 8.9578 2.4829
5.6538 7.0629 6.2424
5.6538 10.8526 6.2424
6.8844 1.0911 2.5313
6.8844 4.8808 2.5313
7.8681 2.9859 6.1940
```

Values from the calculation:
**Space group**: Pnma, No. 62
**Total magnetic moment**: 0.00 Bohr magnetons per cell
**Energy relative to the lowest polymorph listed for this composition**: 111 meV/atom

=====

# 3
Crystalline LaPm6Te8 at its relaxed geometry, computed with GGA-PBE.

POSCAR file:
```
LaPm6Te8
1.0
0.0000 6.3051 6.3051
6.3051 0.0000 6.3051
6.3051 6.3051 0.0000
La Pm Te
1 6 8
Cartesian
0.0000 0.0000 0.0000
3.1526 3.1526 0.0000
3.1526 0.0000 3.1526
6.3051 3.1526 3.1526
0.0000 3.1526 3.1526
3.1526 6.3051 3.1526
3.1526 3.1526 6.3051
3.1526 3.1526 3.1526
6.3051 6.3051 3.2714
6.3051 3.2714 6.3051
9.3389 6.3051 6.3051
3.2714 6.3051 6.3051
6.3051 9.3389 6.3051
6.3051 6.3051 9.3389
9.4577 9.4577 9.4577
```

Values from the calculation:
**Space group**: Fm-3m, No. 225
**DOS(E_F)**: 0.51 states/eV per atom
**Total magnetic moment**: 0.00 Bohr magnetons per cell
**Energy relative to the lowest polymorph listed for this composition**: 0 meV/atom

=====

# 4
Crystalline La6PmTe8 at its relaxed geometry, computed with GGA-PBE.

POSCAR file:
```
La6PmTe8
1.0
0.0000 6.4531 6.4531
6.4531 0.0000 6.4531
6.4531 6.4531 0.0000
La Pm Te
6 1 8
Cartesian
3.2266 3.2266 0.0000
3.2266 0.0000 3.2266
6.4531 3.2266 3.2266
0.0000 3.2266 3.2266
3.2266 6.4531 3.2266
3.2266 3.2266 6.4531
0.0000 0.0000 0.0000
3.2266 3.2266 3.2266
6.4531 6.4531 3.2270
6.4531 3.2270 6.4531
9.6792 6.4531 6.4531
3.2270 6.4531 6.4531
6.4531 9.6792 6.4531
6.4531 6.4531 9.6792
9.6797 9.6797 9.6797
```

Values from the calculation:
**Space group**: Fm-3m, No. 225
**Uncorrected energy**: -5.550 eV per atom
**DOS(E_F)**: 0.62 states/eV per atom
**Total magnetic moment**: 0.00 Bohr magnetons per cell

=====

# 5
Crystalline LaPm6Te8 at its relaxed geometry, computed with GGA-PBE.

POSCAR file:
```
LaPm6Te8
1.0
4.7585 2.7473 6.3140
-4.7585 2.7473 6.3140
0.0000 -5.4946 6.3140
La Pm Te
1 6 8
Cartesian
0.0000 0.0000 0.0000
-1.7860 -2.3418 7.7593
-2.9211 0.3759 11.1827
-1.1350 2.7176 7.7593
1.1350 -2.7176 11.1827
2.9211 -0.3759 7.7593
1.7860 2.3418 11.1827
-3.3752 0.4455 8.0480
-2.0734 -2.7003 10.8940
0.0000 0.0000 6.1859
1.3018 -3.1458 8.0480
-1.3018 3.1458 10.8940
0.0000 0.0000 12.7561
2.0734 2.7003 8.0480
3.3752 -0.4455 10.8940
```

Values from the calculation:
**Space group**: R-3, No. 148
**DOS(E_F)**: 0.61 states/eV per atom
**Total magnetic moment**: 0.00 Bohr magnetons per cell
**Energy relative to the lowest polymorph listed for this composition**: 120 meV/atom

=====

# 6
Crystalline La3Pm2Te8 at its relaxed geometry, computed with GGA-PBE.

POSCAR file:
```
La3Pm2Te8
1.0
7.9221 -4.5640 0.0000
7.9221 4.5640 0.0000
-2.6244 0.0000 7.3584
La Pm Te
3 2 8
Cartesian
0.0000 0.0000 0.0000
6.6099 2.1737 3.6792
6.6099 -2.1737 3.6792
1.8182 0.0000 6.1730
11.4015 0.0000 1.1853
5.7203 2.3409 0.6072
0.8177 0.0000 3.1489
7.4994 2.3409 6.7511
4.4201 0.0000 4.4603
8.7997 0.0000 2.8980
5.7203 -2.3409 0.6072
12.4021 0.0000 4.2094
7.4994 -2.3409 6.7511
```

Values from the calculation:
**Space group**: C2/m, No. 12
**Uncorrected energy**: -5.136 eV per atom
**DOS(E_F)**: 0.66 states/eV per atom
**Total magnetic moment**: 0.00 Bohr magnetons per cell

=====

# 7
Crystalline LaPmTe3 at its relaxed geometry, computed with GGA-PBE.

POSCAR file:
```
LaPmTe3
1.0
8.4225 0.0000 0.0000
0.0000 4.5290 0.0000
0.0000 0.0000 17.5894
La Pm Te
4 4 12
Cartesian
1.1388 1.1322 3.5504
3.0725 3.3967 12.3451
5.3500 1.1322 5.2443
7.2837 3.3967 14.0390
1.9413 3.3967 8.0454
2.2699 1.1322 16.8401
6.1525 3.3967 0.7493
6.4812 1.1322 9.5441
0.0312 1.1322 6.8949
1.0132 3.3967 1.1364
1.2941 1.1322 13.7666
2.9171 3.3967 4.9719
3.1980 1.1322 9.9311
4.1800 3.3967 15.6896
4.2425 1.1322 1.8998
5.2244 3.3967 7.6583
5.5054 1.1322 12.6175
7.1283 3.3967 3.8228
7.4093 1.1322 16.4530
8.3912 3.3967 10.6945
```

Values from the calculation:
**Space group**: Pnma, No. 62
**DOS(E_F)**: 0.04 states/eV per atom
**Total magnetic moment**: 0.00 Bohr magnetons per cell
**Energy relative to the lowest polymorph listed for this composition**: 0 meV/atom

=====

# 8
Crystalline La4Pm3Te8 at its relaxed geometry, computed with GGA-PBE.

POSCAR file:
```
La4Pm3Te8
1.0
6.3837 -6.3855 0.0000
6.3837 6.3855 0.0000
-6.3409 0.0000 6.3873
La Pm Te
4 3 8
Cartesian
0.0000 0.0000 0.0000
3.1919 3.1927 0.0000
3.1919 -3.1927 0.0000
3.2133 0.0000 3.1936
0.0214 3.1927 3.1936
0.0214 -3.1927 3.1936
6.3837 0.0000 0.0000
3.2133 3.2777 3.1936
-0.0658 0.0000 3.2239
-3.1175 0.0000 6.3053
6.3837 3.1635 0.0000
6.3837 -3.1635 0.0000
9.5440 0.0000 0.0820
6.4923 0.0000 3.1634
3.2133 -3.2777 3.1936
```

Values from the calculation:
**Space group**: C2/m, No. 12
**Uncorrected energy**: -5.472 eV per atom
**DOS(E_F)**: 0.57 states/eV per atom
**Total magnetic moment**: 0.00 Bohr magnetons per cell